DFT (PBE) results for a geometry-optimized Ho6Cd3Ni structure.

Structure (extended XYZ):
```
20
Lattice="-3.841 -1.318 -3.125 4.219 -7.799 -1.896 -5.304 -4.963 8.611" Properties=species:S:1:pos:R:3 pbc="T T T"
Ho 1.227 -7.615 -2.498
Ho -0.289 -7.988 3.723
Cd -2.171 -10.834 3.037
Cd -2.674 -6.569 6.057
Ho -3.641 -8.297 3.772
Ho 2.930 -8.850 0.131
Cd 0.189 -4.558 -2.511
Ho -6.153 -6.465 6.088
Ho -4.262 -5.064 3.173
Ho -7.856 -5.230 3.458
Cd -2.652 -2.482 4.306
Cd -2.251 -7.511 -2.467
Ho -4.637 -6.092 -0.133
Ni 0.000 0.000 0.000
Ho -0.663 -9.016 0.417
Ho -1.285 -5.783 -0.183
Cd -2.755 -3.246 0.553
Ho -3.011 -4.202 -2.929
Ho -1.915 -9.878 6.519
Ni -2.463 -7.040 1.795
```

Results
Space-group type = Pnnm

---

DFT (PBE) results for a geometry-optimized CeZr2Pa3As6 structure.

Structure (extended XYZ):
```
12
Lattice="-5.834 2.183 3.257 4.619 -4.067 3.396 3.563 5.955 -0.152" Properties=species:S:1:pos:R:3 pbc="T T T"
Zr -2.356 0.104 3.304
As -0.044 0.034 4.853
Pa -2.360 4.149 3.204
Ce 0.000 0.000 0.000
As 2.364 -0.097 1.676
Pa 4.708 -0.078 3.298
Pa 1.174 2.036 3.251
As -0.016 4.168 4.826
Zr 1.141 -1.988 3.350
As 3.585 2.015 4.874
As 2.392 4.037 1.649
As -1.236 2.056 1.628
```

Results
Space-group type = C2/m

---

| no. | calculated total energy (eV for the cell shown) | mass density (Mg/m³) | formation enthalpy at 0 K (eV/atom) |
| --- | --- | --- | --- |
| 1 | -75.89 | 8.8 | -0.195 |
| 2 | -93.05 | 8.7 | -1.137 |